1.
Density functional theory data (PBE-GGA) for an optimized crystal structure of Ga2HgGeS6.

Cell lengths 14.3448, 13.5989, 6.4513 Å; angles 90.00, 114.82, 90.00 degrees
Closest atoms and distances in Å follow each position.
Space group C2/c (No. 15)
Inequivalent atoms, fractional coordinates:
Ga: 0.0692 0.0841 0.1196 [8 per cell]  4 S 2.22-2.37
Hg: 0.0000 0.4103 0.2500 [4 per cell]  2 S 2.39
Ge: 0.0000 0.3001 0.7500 [4 per cell]  4 S 2.25-2.26
S: 0.1035 0.3950 0.6503 [8 per cell]  1 Ge 2.25, 1 Hg 2.39
S: 0.1114 0.0691 0.5140 [8 per cell]  3 Ga 2.35-2.37
S: 0.1281 0.2237 0.0410 [8 per cell]  1 Ga 2.22, 1 Ge 2.26

Values from the calculation:
Calculated volume: 28.56 Å³/atom
Uncorrected formation energy: -413 kJ/mol of formula units


2.
Density functional theory data (PBE-GGA) for an optimized crystal structure of GaHgGeSb2.

Cell lengths 5.4359, 5.4359, 5.0054 Å; angles 90.00, 90.00, 90.00 degrees
Closest atoms and distances in Å follow each position.
Space group P4/mmm (No. 123)
Inequivalent atoms, fractional coordinates:
Ga: 0.0000 0.0000 0.0000 [1 per cell]  2 Ge 2.50
Hg: 0.5000 0.5000 0.0000 [1 per cell]  8 Sb 3.69, 4 Ga 3.84
Ge: 0.0000 0.0000 0.5000 [1 per cell]  2 Ga 2.50, 4 Sb 2.72
Sb: 0.0000 0.5000 0.5000 [2 per cell]  2 Ge 2.72

Values from the calculation:
Calculated volume: 29.58 Å³/atom
Uncorrected formation energy: 222 kJ/mol of formula units


3.
Density functional theory data (PBE-GGA) for an optimized crystal structure of Ga2HgGeSe6.

Cell lengths 13.6084, 14.3466, 6.9991 Å; angles 90.00, 116.32, 90.00 degrees
Closest atoms and distances in Å follow each position.
Space group C2/c (No. 15)
Inequivalent atoms, fractional coordinates:
Ga: 0.2121 0.0685 0.1966 [8 per cell]  4 Se 2.36-2.58
Hg: 0.0000 0.2407 0.2500 [4 per cell]  2 Se 2.62
Ge: 0.0000 0.3052 0.7500 [4 per cell]  4 Se 2.39-2.45
Se: 0.0935 0.3908 0.5873 [8 per cell]  1 Ge 2.39, 1 Ga 2.47
Se: 0.1373 0.2349 0.0802 [8 per cell]  1 Ge 2.45, 1 Ga 2.58, 1 Hg 2.62
Se: 0.1572 0.0664 0.4816 [8 per cell]  2 Ga 2.36-2.42

Values from the calculation:
Calculated volume: 30.62 Å³/atom
Uncorrected formation energy: -292 kJ/mol of formula units